No. 1
This record from OQMD via LeMat-Bulk describes an optimized crystal structure of Al2CdO4. The functional is GGA-PBE.

```
Al2CdO4
1.0
7.1177 4.1094 3.1978
-7.1177 4.1094 3.1978
0.0000 -8.2188 3.1978
Al Cd O
12 6 24
direct
0.2807 0.8659 0.1034
0.8966 0.7193 0.1341
0.4273 0.6149 0.2080
0.8659 0.1034 0.2807
0.7920 0.5727 0.3851
0.6149 0.2081 0.4273
0.3851 0.7919 0.5727
0.2080 0.4273 0.6149
0.1341 0.8966 0.7193
0.5727 0.3851 0.7920
0.1034 0.2807 0.8659
0.7193 0.1341 0.8966
0.4499 0.2225 0.0655
0.0655 0.4499 0.2225
0.2225 0.0655 0.4499
0.7775 0.9345 0.5501
0.9345 0.5501 0.7775
0.5501 0.7775 0.9345
0.3048 0.3875 0.0599
0.0648 0.7320 0.0618
0.7320 0.0618 0.0648
0.4061 0.7446 0.0938
0.9062 0.5939 0.2554
0.9382 0.9352 0.2681
0.3875 0.0599 0.3048
0.6667 0.3527 0.3315
0.6473 0.6685 0.3333
0.3315 0.6667 0.3527
0.0599 0.3048 0.3875
0.7446 0.0938 0.4061
0.2554 0.9062 0.5939
0.9401 0.6952 0.6125
0.6685 0.3333 0.6473
0.3527 0.3315 0.6667
0.3333 0.6473 0.6685
0.6125 0.9401 0.6952
0.0618 0.0648 0.7319
0.0938 0.4061 0.7446
0.5939 0.2554 0.9062
0.2680 0.9382 0.9352
0.9352 0.2680 0.9382
0.6952 0.6125 0.9401
```

Properties
calculated volume	561.2	Å³ per cell
SG	R-3, No. 148

No. 2
This record from OQMD via LeMat-Bulk describes an optimized crystal structure of RbAgTeWSe2. The functional is GGA-PBE.

```
RbAgTeWSe2
1.0
1.9822 -8.1202 0.0000
1.9822 8.1202 0.0000
0.0000 0.0000 10.5991
Ag Rb Se Te W
2 2 4 2 2
direct
0.4555 0.5445 0.2500
0.5445 0.4555 0.7500
0.7687 0.2313 0.2500
0.2313 0.7687 0.7500
0.3931 0.6069 0.0287
0.3931 0.6069 0.4713
0.6069 0.3931 0.5287
0.6069 0.3931 0.9713
0.0757 0.9243 0.2500
0.9243 0.0757 0.7500
0.0000 0.0000 0.0000
0.0000 0.0000 0.5000
```

Properties
calculated volume	341.2	Å³ per cell
SG	Cmcm, No. 63

No. 3
This record from OQMD via LeMat-Bulk describes an optimized crystal structure of YGeIr. The functional is GGA-PBE.

```
YGeIr
1.0
0.0000 3.1947 3.1947
3.1947 0.0000 3.1947
3.1947 3.1947 0.0000
Ge Ir Y
1 1 1
direct
0.2500 0.2500 0.2500
0.0000 0.0000 0.0000
0.7500 0.7500 0.7500
```

Properties
calculated volume	65.2	Å³ per cell
SG	F-43m, No. 216

No. 4
This record from OQMD via LeMat-Bulk describes an optimized crystal structure of BaSnAu2Se3S. The functional is GGA-PBE.

```
BaSnAu2Se3S
1.0
-3.9225 2.7417 -4.7731
-0.2321 -6.7587 -1.0180
-1.7541 0.6306 6.5833
Au Ba S Se Sn
2 1 1 3 1
direct
0.4957 0.6791 0.1736
0.5015 0.3168 0.8328
0.0030 0.0043 0.0007
0.6201 0.1538 0.1140
0.9674 0.8610 0.4649
0.3955 0.4908 0.5370
0.0241 0.4987 0.8856
0.9926 0.4955 0.4913
```

Properties
calculated volume	238.4	Å³ per cell
SG	P1, No. 1

No. 5
This record from OQMD via LeMat-Bulk describes an optimized crystal structure of SrSi2AgIr. The functional is GGA-PBE.

```
SrSi2AgIr
1.0
-2.1535 2.1535 5.1023
2.1535 -2.1535 5.1023
2.1535 2.1535 -5.1023
Ag Ir Si Sr
1 1 2 1
direct
0.0000 0.0000 0.0000
0.5000 0.5000 0.0000
0.1262 0.6262 0.5000
0.3738 0.8738 0.5000
0.7500 0.2500 0.5000
```

Properties
calculated volume	94.6	Å³ per cell
SG	I-4m2, No. 119

No. 6
This record from OQMD via LeMat-Bulk describes an optimized crystal structure of ReNiBW. The functional is GGA-PBE.

```
ReNiBW
1.0
0.0000 2.8777 2.8777
2.8777 0.0000 2.8777
2.8777 2.8777 0.0000
B Ni Re W
1 1 1 1
direct
0.0000 0.0000 0.0000
0.5000 0.5000 0.5000
0.7500 0.7500 0.7500
0.2500 0.2500 0.2500
```

Properties
calculated volume	47.7	Å³ per cell
SG	F-43m, No. 216

No. 7
This record from OQMD via LeMat-Bulk describes an optimized crystal structure of NaRe4Ag3O12. The functional is GGA-PBE.

```
NaRe4Ag3O12
1.0
0.9294 1.0461 6.5330
-6.5414 0.0667 -1.3577
2.5654 -5.9322 -1.6926
Ag Na O Re
3 1 12 4
direct
0.5000 0.5000 0.0000
0.5000 0.0000 0.5000
0.0000 0.5000 0.5000
0.0000 0.0000 0.0000
0.7770 0.2708 0.0478
0.2708 0.4939 0.2230
0.7292 0.9522 0.2230
0.4939 0.2230 0.2708
0.0478 0.7770 0.2708
0.2230 0.2708 0.4939
0.7770 0.7292 0.5061
0.5061 0.7770 0.7292
0.9522 0.2230 0.7292
0.2708 0.0478 0.7770
0.7292 0.5061 0.7770
0.2230 0.7292 0.9522
0.5000 0.0000 0.0000
0.0000 0.5000 0.0000
0.0000 0.0000 0.5000
0.5000 0.5000 0.5000
```

Properties
calculated volume	229.6	Å³ per cell
SG	Im-3, No. 204

No. 8
This record from OQMD via LeMat-Bulk describes an optimized crystal structure of Tb2TmInGa2Hg3. The functional is GGA-PBE.

```
Tb2TmInGa2Hg3
1.0
4.4644 0.0000 0.0000
0.0000 6.3606 3.6873
0.0000 -6.3606 3.6873
Ga Hg In Tb Tm
2 3 1 2 1
direct
0.5000 0.6662 0.3354
0.5000 0.3354 0.6662
0.5000 0.7366 0.0007
0.5000 0.2642 0.2642
0.5000 0.0007 0.7366
0.0000 0.9973 0.9973
0.0000 0.4343 0.0008
0.0000 0.0008 0.4343
0.0000 0.5645 0.5645
```

Properties
calculated volume	209.4	Å³ per cell
SG	Amm2, No. 38

So what do the calculations give for calculated total energy? Going down the list: -272.80 -56.30 -21.65 -32.81 -26.37 -36.31 -141.49 -27.63 eV per cell.